# Hg2Cl3

Hg2Cl3 after structural relaxation (GGA-PBE, Alexandria).

The space group is R-3c (No. 167, hexagonal axes) and the conventional cell measures 7.0646, 7.0646 and 19.6493 Å, with angles of 90.00, 90.00 and 120.00 degrees. Symmetry generates all atoms from Hg at (0.0000, 0.0000, 0.1507) and Cl at (0.0000, 0.3128, 0.2500).

Its offset from the most stable computed form is 0.0000 eV/atom. The spin magnetization is 0.000 μB/atom.

***

# CoRe3Pb

CoRe3Pb after structural relaxation (GGA-PBE, Alexandria).

The space group is Pm-3m (No. 221) and the conventional cell measures 4.512, 4.512 and 4.512 Å, with angles of 90.00, 90.00 and 90.00 degrees. Symmetry generates all atoms from Co at (0.000, 0.000, 0.000), Re at (0.000, 0.000, 0.500) and Pb at (0.500, 0.500, 0.500).

Its offset from the most stable computed form is 0.0000 eV/atom. The spin magnetization is 0.315 μB/atom.

***

# BaAc2Si6

BaAc2Si6 after structural relaxation (GGA-PBE, Alexandria).

The space group is Immm (No. 71) and the conventional cell measures 4.156, 9.842 and 11.953 Å, with angles of 90.00, 90.00 and 90.00 degrees. Symmetry generates all atoms from Ba at (0.000, 0.000, 0.000), Ac at (0.000, 0.500, 0.146), Si at (0.000, 0.183, 0.500) and Si at (0.000, 0.259, 0.311).

Its offset from the most stable computed form is 0.1927 eV/atom. The spin magnetization is 0.000 μB/atom.

***

# ReC

ReC after structural relaxation (GGA-PBE, Alexandria).

The space group is P-6m2 (No. 187) and the conventional cell measures 2.8843, 2.8843 and 2.8259 Å, with angles of 90.00, 90.00 and 120.00 degrees. Symmetry generates all atoms from Re at (0.0000, 0.0000, 0.0000) and C at (0.3333, 0.6667, 0.5000).

Its offset from the most stable computed form is 0.0000 eV/atom. The spin magnetization is 0.000 μB/atom.

***

# BaCaV3

BaCaV3 after structural relaxation (GGA-PBE, Alexandria).

The space group is Pm-3m (No. 221) and the conventional cell measures 5.059, 5.059 and 5.059 Å, with angles of 90.00, 90.00 and 90.00 degrees. Symmetry generates all atoms from Ba at (0.000, 0.000, 0.000), Ca at (0.500, 0.500, 0.500) and V at (0.000, 0.000, 0.500).

Its offset from the most stable computed form is 0.2475 eV/atom. The spin magnetization is 1.145 μB/atom.

***

# Pa2PdSe

Pa2PdSe after structural relaxation (GGA-PBE, Alexandria).

The space group is R-3m (No. 166, hexagonal axes) and the conventional cell measures 3.3340, 3.3340 and 29.0544 Å, with angles of 90.00, 90.00 and 120.00 degrees. Symmetry generates all atoms from Pa at (0.0000, 0.0000, 0.0913), Pd at (0.0000, 0.0000, 0.0000) and Se at (0.0000, 0.0000, 0.5000).

The value obtained for the raw total energy is -7.21 eV per atom. The spin magnetization is 0.000 μB/atom.

***

# Nd5SmTl3

Nd5SmTl3 after structural relaxation (GGA-PBE, Alexandria).

The space group is P6_3/mcm (No. 193) and the conventional cell measures 9.6515, 9.6515 and 6.9393 Å, with angles of 90.00, 90.00 and 120.00 degrees. Symmetry generates all atoms from Nd at (0.0000, 0.3356, 0.2500), Nd at (0.3333, 0.6667, 0.0000), Sm at (0.0000, 0.0000, 0.0000) and Tl at (0.0000, 0.3299, 0.7500).

The value obtained for the raw total energy is -4.23 eV per atom. The spin magnetization is 0.217 μB/atom.

***

# Mg8Bi2Pt

Mg8Bi2Pt after structural relaxation (GGA-PBE, Alexandria).

The space group is C2/m (No. 12) and the conventional cell measures 20.780, 4.495 and 5.876 Å, with angles of 90.00, 96.05 and 90.00 degrees. Symmetry generates all atoms from Mg at (0.029, 0.000, 0.236), Mg at (0.069, 0.500, 0.642), Mg at (0.131, 0.500, 0.146), Mg at (0.242, 0.500, 0.810), Bi at (0.160, 0.000, 0.532) and Pt at (0.000, 0.500, 0.000).

The value obtained for the raw total energy is -2.67 eV per atom. The spin magnetization is 0.000 μB/atom.